Compound: TiSn2Cl
Source: Alexandria
Functional: PBE-GGA
Structure: optimized geometry

Cell lengths 5.086, 5.086, 5.086 Å; angles 60.00, 60.00, 60.00 degrees
Element x y z (fractional)
Ti 0.000 0.000 0.000
Sn 0.250 0.250 0.250
Sn 0.750 0.750 0.750
Cl 0.500 0.500 0.500

## Properties
Fermi-level density of states in states/eV per cell: 7.5
Space group: Fm-3m, No. 225
Relative energy among the computed polymorphs in meV per atom: 160
Total moment in μB/f.u.: 0.0
ΔE_f (raw) in eV/atom: 0.241
Total energy in eV/atom: -4.195

=====

Compound: TiSnCl3
Source: Alexandria
Functional: PBE-GGA
Structure: optimized geometry

Cell lengths 5.505, 5.505, 5.505 Å; angles 90.00, 90.00, 90.00 degrees
Element x y z (fractional)
Ti 0.000 0.000 0.000
Sn 0.500 0.500 0.500
Cl 0.000 0.500 0.500
Cl 0.500 0.000 0.500
Cl 0.500 0.500 0.000

## Properties
Fermi-level density of states in states/eV per cell: 9.9
Space group: Pm-3m, No. 221
Relative energy among the computed polymorphs in meV per atom: 549
Total moment in μB/f.u.: 3.0
ΔE_f (raw) in eV/atom: -0.140
Total energy in eV/atom: -3.628